Record 1
Mg2CdAs | GGA-PBEsol | relaxed

Output
E above lowest polymorph = 40 meV/atom
Space-group type = I-4m2, No. 119

The structure in extended XYZ format:
```
8
Lattice="4.0657 0.0000 0.0000 0.0000 4.0657 0.0000 0.0000 0.0000 9.7150" Properties=species:S:1:pos:R:3 pbc="T T T"
Mg 0.0000 0.0000 0.0000
Mg 0.0000 2.0328 2.4288
Mg 2.0328 0.0000 7.2863
Mg 2.0328 2.0328 4.8575
Cd 0.0000 2.0328 7.2863
Cd 2.0328 0.0000 2.4288
As 0.0000 0.0000 4.8575
As 2.0328 2.0328 0.0000
```

Record 2
SrMn2Au | GGA-PBEsol | relaxed

Output
Space-group type = P4/mmm, No. 123

The structure in extended XYZ format:
```
4
Lattice="3.4227 0.0000 0.0000 0.0000 3.4227 0.0000 0.0000 0.0000 7.2263" Properties=species:S:1:pos:R:3 pbc="T T T"
Sr 0.0000 0.0000 0.0000
Mn 1.7114 1.7114 2.3115
Mn 1.7114 1.7114 4.9149
Au 0.0000 0.0000 3.6132
```

Record 3
K2ScCd | GGA-PBEsol | relaxed

Output
Space-group type = Cmmm, No. 65

The structure in extended XYZ format:
```
8
Lattice="6.7518 0.0000 0.0000 0.0000 11.9332 0.0000 0.0000 0.0000 3.4332" Properties=species:S:1:pos:R:3 pbc="T T T"
K 1.6879 2.9833 0.0000
K 1.6879 8.9499 0.0000
K 5.0638 2.9833 0.0000
K 5.0638 8.9499 0.0000
Sc 0.0000 0.0000 1.7166
Sc 3.3759 5.9666 1.7166
Cd 0.0000 5.9666 1.7166
Cd 3.3759 0.0000 1.7166
```

What did we get for DFT total energy? Answer: -0.096; -0.214; -0.074 hartree per atom, in the order shown.
What did we get for calculated formation energy? Answer: -0.1694; 0.4911; 0.4930 eV per atom, in the order shown.